Computed, not measured: MnWO2 after structural relaxation at the GGA+U level of DFT.

Output
The calculation puts the distance to the lowest polymorph of the same formula at 57.2 kJ/mol of atoms. The calculation puts the volume at 10.78 A^3/atom.

Unit cell a=3.9362 b=3.9362 c=3.9362 alpha=60.00 beta=60.00 gamma=60.00
Fractional coordinates of all 4 atoms:
Mn: 0.0000 0.0000 0.0000
W: 0.5000 0.5000 0.5000
O: 0.2500 0.2500 0.2500
O: 0.7500 0.7500 0.7500